Material: LiVO2F2
Method: DFT, PBE with a Hubbard U
State: relaxed

Cell: 5.232 6.552 9.328 Å, 90.00 90.00 90.00°
Fractional positions:
F  0.282  0.120  0.882
F  0.718  0.620  0.882
F  0.129  0.891  0.624
F  0.129  0.609  0.124
F  0.718  0.880  0.382
F  0.871  0.109  0.124
F  0.282  0.380  0.382
F  0.871  0.391  0.624
Li  0.056  0.346  0.219
Li  0.944  0.846  0.219
Li  0.056  0.154  0.719
Li  0.944  0.654  0.719
O  0.505  0.358  0.059
O  0.768  0.076  0.847
O  0.495  0.642  0.559
O  0.505  0.142  0.559
O  0.495  0.858  0.059
O  0.232  0.576  0.847
O  0.232  0.924  0.347
O  0.768  0.424  0.347
V  0.415  0.901  0.487
V  0.415  0.599  0.987
V  0.585  0.401  0.487
V  0.585  0.099  0.987

Values from the calculation:
Energy above the lowest structure with this stoichiometry = 29 meV per atom
Magnetization = 0.00 μB/cell
Symmetry = Pca2_1 (29)
DOS(E_F) = 0.00 states/eV per cell